[1]
3
Lattice="-1.771 1.771 5.536 1.771 -1.771 5.536 1.771 1.771 -5.536" Properties=species:S:1:pos:R:3 comment="SCAN CaCuPb, single point on PBEsol structure" total_energy_ev_per_cell=-101.1 spacegroup="I4mm (107)" pbc="T T T"
Ca 0.000 0.000 0.000
Cu 0.000 0.000 3.722
Pb 0.000 0.000 7.858



[2]
5
Lattice="3.329 0.000 0.000 0.000 3.329 0.000 0.000 0.000 3.817" Properties=species:S:1:pos:R:3 comment="SCAN Co2BHRu, single point on PBEsol structure" total_energy_ev_per_cell=-78.6 spacegroup="P4/mmm (123)" pbc="T T T"
Co 0.000 1.665 0.000
Co 1.665 0.000 0.000
B 0.000 0.000 1.908
H 1.665 1.665 0.000
Ru 1.665 1.665 1.908



[3]
8
Lattice="-3.229 3.229 6.829 3.229 -3.229 6.829 3.229 3.229 -6.829" Properties=species:S:1:pos:R:3 comment="SCAN BaGaSe2, single point on PBEsol structure" raw_formation_energy_ev_per_atom=-1.0949 spacegroup="I-42d (122)" pbc="T T T"
Ba 0.000 0.000 0.000
Ba 0.000 3.229 3.415
Ga 3.229 0.000 3.415
Ga 0.000 0.000 6.829
Se 1.615 -1.101 5.122
Se 2.128 1.615 1.707
Se 1.615 4.331 -1.707
Se 1.101 1.615 8.537



[4]
5
Lattice="4.924 0.000 0.000 0.000 4.924 0.000 0.000 0.000 3.394" Properties=species:S:1:pos:R:3 comment="SCAN FeGe2SbO, single point on PBEsol structure" raw_formation_energy_ev_per_atom=-0.1133 spacegroup="P4/mmm (123)" pbc="T T T"
Fe 0.000 0.000 0.000
Ge 0.000 2.462 0.000
Ge 2.462 0.000 0.000
Sb 2.462 2.462 1.697
O 0.000 0.000 1.697



[5]
12
Lattice="-1.894 1.894 10.259 1.894 -1.894 10.259 1.894 1.894 -10.259" Properties=species:S:1:pos:R:3 comment="SCAN Sr3CoRuO7, single point on PBEsol structure" raw_formation_energy_ev_per_atom=-2.2370 spacegroup="I4mm (107)" pbc="T T T"
Sr 0.000 0.000 0.000
Sr 0.000 0.000 3.518
Sr 0.000 0.000 16.421
Co 0.000 0.000 12.129
Ru 0.000 0.000 8.085
O 1.894 0.000 1.771
O 0.000 0.000 6.024
O 1.894 0.000 8.047
O 0.000 0.000 10.077
O 0.000 1.894 1.771
O 0.000 0.000 14.021
O 0.000 1.894 8.047



[6]
4
Lattice="4.377 -1.321 0.000 4.377 1.321 0.000 -0.842 0.000 4.484" Properties=species:S:1:pos:R:3 comment="SCAN CrRh3, single point on PBEsol structure" total_energy_ev_per_cell=-120.1 spacegroup="C2/m (12)" pbc="T T T"
Cr 0.000 0.000 0.000
Rh 1.596 0.000 3.390
Rh 3.956 0.000 2.242
Rh 6.317 0.000 1.094



[7]
4
Lattice="-1.911 2.007 5.371 1.911 -2.007 5.371 1.911 2.007 -5.371" Properties=species:S:1:pos:R:3 comment="SCAN LaCo2Te, single point on PBEsol structure" raw_formation_energy_ev_per_atom=-0.1173 spacegroup="Imm2 (44)" pbc="T T T"
La 0.000 0.000 0.000
Co 0.000 0.000 6.559
Co 0.000 2.007 2.344
Te 1.911 0.000 2.775



[8]
4
Lattice="1.574 0.909 9.048 -1.574 0.909 9.048 0.000 -1.817 9.048" Properties=species:S:1:pos:R:3 comment="SCAN LaReCl2, single point on PBEsol structure" raw_formation_energy_ev_per_atom=-0.1935 spacegroup="R-3m (166)" pbc="T T T"
La 0.000 0.000 0.000
Re 0.000 0.000 13.573
Cl 0.000 0.000 11.261
Cl 0.000 0.000 15.884